No. 1
Material: ScAl2Sn2
Method: DFT, PBEsol
State: relaxed

```
data_ScAl2Sn2
_space_group_name_H-M_alt 'P 4/m m m'
_space_group_IT_number 123
_space_group_name_Hall '-P 4 2'
_cell_length_a 5.038
_cell_length_b 5.038
_cell_length_c 5.635
_cell_angle_alpha 90.00
_cell_angle_beta 90.00
_cell_angle_gamma 90.00
loop_
_atom_site_label
_atom_site_type_symbol
_atom_site_fract_x
_atom_site_fract_y
_atom_site_fract_z
Sc1 Sc 0.000 0.000 0.000
Al1 Al 0.000 0.500 0.500
Sn1 Sn 0.500 0.500 0.000
Sn2 Sn 0.500 0.500 0.500
```

Calculated values
**DFT formation energy**: 0.77 eV/atom
**Magnetization**: 0.000 μB/atom


No. 2
Material: Sr3ScAl
Method: DFT, PBEsol
State: relaxed

```
data_Sr3ScAl
_space_group_name_H-M_alt 'P m -3 m'
_space_group_IT_number 221
_space_group_name_Hall '-P 4 2 3'
_cell_length_a 6.118
_cell_length_b 6.118
_cell_length_c 6.118
_cell_angle_alpha 90.00
_cell_angle_beta 90.00
_cell_angle_gamma 90.00
loop_
_atom_site_label
_atom_site_type_symbol
_atom_site_fract_x
_atom_site_fract_y
_atom_site_fract_z
Sr1 Sr 0.000 0.000 0.500
Sc1 Sc 0.500 0.500 0.500
Al1 Al 0.000 0.000 0.000
```

Calculated values
**DFT formation energy**: 0.52 eV/atom
**Magnetization**: 0.398 μB/atom


No. 3
Material: SrScAl2
Method: DFT, PBEsol
State: relaxed

```
data_SrScAl2
_space_group_name_H-M_alt 'I m m 2'
_space_group_IT_number 44
_cell_length_a 3.548
_cell_length_b 5.058
_cell_length_c 10.553
_cell_angle_alpha 90.00
_cell_angle_beta 90.00
_cell_angle_gamma 90.00
loop_
_space_group_symop_operation_xyz
'x,y,z'
'-x,-y,z'
'-x,y,z'
'x,-y,z'
'x+1/2,y+1/2,z+1/2'
'-x+1/2,-y+1/2,z+1/2'
'-x+1/2,y+1/2,z+1/2'
'x+1/2,-y+1/2,z+1/2'
loop_
_atom_site_label
_atom_site_type_symbol
_atom_site_fract_x
_atom_site_fract_y
_atom_site_fract_z
Sr1 Sr 0.000 0.000 0.000
Sc1 Sc 0.000 0.500 0.217
Al1 Al 0.000 0.000 0.452
Al2 Al 0.000 0.500 0.765
```

Calculated values
**DFT formation energy**: -0.05 eV/atom
**Magnetization**: 0.000 μB/atom


No. 4
Material: SrScAl3
Method: DFT, PBEsol
State: relaxed

```
data_SrScAl3
_space_group_name_H-M_alt 'P m -3 m'
_space_group_IT_number 221
_space_group_name_Hall '-P 4 2 3'
_cell_length_a 5.331
_cell_length_b 5.331
_cell_length_c 5.331
_cell_angle_alpha 90.00
_cell_angle_beta 90.00
_cell_angle_gamma 90.00
loop_
_atom_site_label
_atom_site_type_symbol
_atom_site_fract_x
_atom_site_fract_y
_atom_site_fract_z
Sr1 Sr 0.000 0.000 0.000
Sc1 Sc 0.500 0.500 0.500
Al1 Al 0.000 0.000 0.500
```

Calculated values
**DFT formation energy**: 1.33 eV/atom
**Magnetization**: 0.000 μB/atom


No. 5
Material: ScTaAl2
Method: DFT, PBEsol
State: relaxed

```
data_ScTaAl2
_space_group_name_H-M_alt 'R -3 m'
_space_group_IT_number 166
_space_group_name_Hall '-R 3 2"'
_cell_length_a 2.9764
_cell_length_b 2.9764
_cell_length_c 28.3357
_cell_angle_alpha 90.00
_cell_angle_beta 90.00
_cell_angle_gamma 120.00
loop_
_atom_site_label
_atom_site_type_symbol
_atom_site_fract_x
_atom_site_fract_y
_atom_site_fract_z
Sc1 Sc 0.0000 0.0000 0.0000
Ta1 Ta 0.0000 0.0000 0.5000
Al1 Al 0.0000 0.0000 0.2462
```

Calculated values
**DFT formation energy**: -0.09 eV/atom
**Magnetization**: 0.001 μB/atom


No. 6
Material: Sc2TaAl
Method: DFT, PBEsol
State: relaxed

```
data_Sc2TaAl
_space_group_name_H-M_alt 'I 4/m m m'
_space_group_IT_number 139
_space_group_name_Hall '-I 4 2'
_cell_length_a 4.129
_cell_length_b 4.129
_cell_length_c 8.844
_cell_angle_alpha 90.00
_cell_angle_beta 90.00
_cell_angle_gamma 90.00
loop_
_atom_site_label
_atom_site_type_symbol
_atom_site_fract_x
_atom_site_fract_y
_atom_site_fract_z
Sc1 Sc 0.000 0.500 0.250
Ta1 Ta 0.000 0.000 0.000
Al1 Al 0.000 0.000 0.500
```

Calculated values
**DFT formation energy**: -0.09 eV/atom
**Magnetization**: 0.000 μB/atom


No. 7
Material: ScTaAl2
Method: DFT, PBEsol
State: relaxed

```
data_ScTaAl2
_space_group_name_H-M_alt 'P m m m'
_space_group_IT_number 47
_cell_length_a 2.907
_cell_length_b 4.067
_cell_length_c 5.871
_cell_angle_alpha 90.00
_cell_angle_beta 90.00
_cell_angle_gamma 90.00
loop_
_space_group_symop_operation_xyz
'x,y,z'
'-x,-y,-z'
'-x,-y,z'
'x,y,-z'
'x,-y,-z'
'-x,y,z'
'-x,y,-z'
'x,-y,z'
loop_
_atom_site_label
_atom_site_type_symbol
_atom_site_fract_x
_atom_site_fract_y
_atom_site_fract_z
Sc1 Sc 0.000 0.000 0.000
Ta1 Ta 0.000 0.000 0.500
Al1 Al 0.500 0.500 0.267
```

Calculated values
**DFT formation energy**: -0.30 eV/atom
**Magnetization**: 0.001 μB/atom


No. 8
Material: Sc2TaAl
Method: DFT, PBEsol
State: relaxed

```
data_Sc2TaAl
_space_group_name_H-M_alt 'I m m m'
_space_group_IT_number 71
_space_group_name_Hall '-I 2 2'
_cell_length_a 3.160
_cell_length_b 4.873
_cell_length_c 9.869
_cell_angle_alpha 90.00
_cell_angle_beta 90.00
_cell_angle_gamma 90.00
loop_
_atom_site_label
_atom_site_type_symbol
_atom_site_fract_x
_atom_site_fract_y
_atom_site_fract_z
Sc1 Sc 0.000 0.000 0.245
Ta1 Ta 0.000 0.500 0.000
Al1 Al 0.000 0.500 0.500
```

Calculated values
**DFT formation energy**: 0.01 eV/atom
**Magnetization**: 0.000 μB/atom


No. 9
Material: ScTaAl2
Method: DFT, PBEsol
State: relaxed

```
data_ScTaAl2
_space_group_name_H-M_alt 'P 4/m m m'
_space_group_IT_number 123
_space_group_name_Hall '-P 4 2'
_cell_length_a 2.873
_cell_length_b 2.873
_cell_length_c 8.423
_cell_angle_alpha 90.00
_cell_angle_beta 90.00
_cell_angle_gamma 90.00
loop_
_atom_site_label
_atom_site_type_symbol
_atom_site_fract_x
_atom_site_fract_y
_atom_site_fract_z
Sc1 Sc 0.000 0.000 0.000
Ta1 Ta 0.000 0.000 0.500
Al1 Al 0.500 0.500 0.261
```

Calculated values
**DFT formation energy**: -0.32 eV/atom
**Magnetization**: 0.115 μB/atom


No. 10
Material: ScTaAl4
Method: DFT, PBEsol
State: relaxed

```
data_ScTaAl4
_space_group_name_H-M_alt 'F -4 3 m'
_space_group_IT_number 216
_space_group_name_Hall 'F -4 2 3'
_cell_length_a 7.325
_cell_length_b 7.325
_cell_length_c 7.325
_cell_angle_alpha 90.00
_cell_angle_beta 90.00
_cell_angle_gamma 90.00
loop_
_atom_site_label
_atom_site_type_symbol
_atom_site_fract_x
_atom_site_fract_y
_atom_site_fract_z
Sc1 Sc 0.000 0.000 0.000
Ta1 Ta 0.250 0.250 0.250
Al1 Al 0.125 0.125 0.625
```

Calculated values
**DFT formation energy**: -0.34 eV/atom
**Magnetization**: 0.000 μB/atom


No. 11
Material: ScTaAl2
Method: DFT, PBEsol
State: relaxed

```
data_ScTaAl2
_space_group_name_H-M_alt 'I -4 2 d'
_space_group_IT_number 122
_space_group_name_Hall 'I -4 2bw'
_cell_length_a 4.002
_cell_length_b 4.002
_cell_length_c 19.536
_cell_angle_alpha 90.00
_cell_angle_beta 90.00
_cell_angle_gamma 90.00
loop_
_atom_site_label
_atom_site_type_symbol
_atom_site_fract_x
_atom_site_fract_y
_atom_site_fract_z
Sc1 Sc 0.000 0.000 0.000
Ta1 Ta 0.000 0.000 0.500
Al1 Al 0.223 0.250 0.625
```

Calculated values
**DFT formation energy**: 0.47 eV/atom
**Magnetization**: 0.000 μB/atom


No. 12
Material: Sc2AlTc
Method: DFT, PBEsol
State: relaxed

```
data_Sc2AlTc
_space_group_name_H-M_alt 'F m -3 m'
_space_group_IT_number 225
_space_group_name_Hall '-F 4 2 3'
_cell_length_a 6.538
_cell_length_b 6.538
_cell_length_c 6.538
_cell_angle_alpha 90.00
_cell_angle_beta 90.00
_cell_angle_gamma 90.00
loop_
_atom_site_label
_atom_site_type_symbol
_atom_site_fract_x
_atom_site_fract_y
_atom_site_fract_z
Sc1 Sc 0.250 0.250 0.250
Al1 Al 0.000 0.000 0.000
Tc1 Tc 0.000 0.000 0.500
```

Calculated values
**Excess energy over the best structure of this formula in the dataset**: 15 meV/atom
**DFT formation energy**: -0.34 eV/atom
**Magnetization**: 0.000 μB/atom


Q: Which of these has the highest DFT formation energy?
A: SrScAl3


Q: The highest magnetization belongs to which entry?
A: Sr3ScAl


Q: Look up the magnetization of the fourth one.
A: 0.000 μB/atom